Entry 1:
Below is an optimized crystal structure of TlGa2I, with properties calculated at the PBE-GGA level.

extended XYZ file:
```
8
Lattice="-3.296 3.296 6.934 3.296 -3.296 6.934 3.296 3.296 -6.934" Properties=species:S:1:pos:R:3 pbc="T T T"
Tl 0.000 0.000 0.000
Tl 0.000 3.296 3.467
Ga 4.944 1.360 -1.734
Ga 1.360 1.648 1.734
Ga -1.648 1.935 5.201
Ga 1.935 1.648 8.668
I 3.296 0.000 3.467
I 0.000 0.000 6.934
```

Results
ΔE to the lowest computed polymorph = 0 meV per atom
Total magnetization = 0.000 μB/atom
DFT total energy = -2.370 eV/atom
Fermi-level density of states = 0.400 states/eV/atom

=====

Entry 2:
Below is an optimized crystal structure of Tl2Ga2I, with properties calculated at the PBE-GGA level.

extended XYZ file:
```
5
Lattice="-1.954 1.954 9.980 1.954 -1.954 9.980 1.954 1.954 -9.980" Properties=species:S:1:pos:R:3 pbc="T T T"
Tl 0.000 0.000 2.168
Tl 0.000 0.000 17.791
Ga 1.954 0.000 4.990
Ga 0.000 1.954 4.990
I 0.000 0.000 9.980
```

Results
ΔE to the lowest computed polymorph = 6 meV per atom
Total magnetization = 0.000 μB/atom
DFT total energy = -2.484 eV/atom
Fermi-level density of states = 0.819 states/eV/atom

=====

Entry 3:
Below is an optimized crystal structure of Tl2GaI6, with properties calculated at the PBE-GGA level.

extended XYZ file:
```
18
Lattice="7.807 0.000 0.000 0.000 8.093 0.000 -7.440 0.000 11.219" Properties=species:S:1:pos:R:3 pbc="T T T"
Tl -0.201 0.632 2.667
Tl -3.921 3.414 8.276
Tl 4.288 4.679 2.943
Tl 0.568 7.461 8.552
Ga 3.903 0.000 0.000
Ga 0.183 4.047 5.610
I -5.851 1.597 10.771
I -2.132 2.450 5.161
I -4.982 5.753 10.717
I -1.262 6.387 5.107
I -2.868 0.151 8.502
I 0.852 3.896 2.893
I -0.485 4.197 8.327
I 3.235 7.943 2.717
I 1.628 1.706 6.112
I 5.348 2.340 0.502
I 2.498 5.643 6.058
I 6.218 6.497 0.449
```

Results
ΔE to the lowest computed polymorph = 0 meV per atom
Total magnetization = 0.000 μB/atom
DFT total energy = -2.284 eV/atom
Fermi-level density of states = 0.927 states/eV/atom

=====

Entry 4:
Below is an optimized crystal structure of Tl2GaI4, with properties calculated at the PBE-GGA level.

extended XYZ file:
```
7
Lattice="-2.866 2.866 8.847 2.866 -2.866 8.847 2.866 2.866 -8.847" Properties=species:S:1:pos:R:3 pbc="T T T"
Tl 0.000 0.000 2.486
Tl 0.000 0.000 15.209
Ga 0.000 0.000 8.847
I 2.866 0.000 0.000
I 0.000 0.000 5.839
I 0.000 2.866 0.000
I 0.000 0.000 11.856
```

Results
ΔE to the lowest computed polymorph = 0 meV per atom
Total magnetization = 0.000 μB/atom
DFT total energy = -2.477 eV/atom
Fermi-level density of states = 0.175 states/eV/atom